Record 1
## NaLiMgZn (PBE-GGA)

Data for NaLiMgZn after structural relaxation.

POSCAR file:
```
NaLiMgZn
1.0
0.000 3.459 3.459
3.459 0.000 3.459
3.459 3.459 0.000
Na Li Mg Zn
1 1 1 1
Direct
0.000 0.000 0.000
0.250 0.250 0.250
0.750 0.750 0.750
0.500 0.500 0.500
```

Properties
Total moment in μB per formula unit: 0.00
Final energy in eV per atom: -1.50
ΔE_f in kJ/mol of atoms: 2

Record 2
## Ca2YCrPd (PBE-GGA)

Data for Ca2YCrPd after structural relaxation.

POSCAR file:
```
Ca2YCrPd
1.0
5.506 0.000 0.000
0.000 5.506 0.000
0.000 0.000 5.415
Ca Y Cr Pd
2 1 1 1
Direct
0.000 0.500 0.000
0.500 0.000 0.000
0.000 0.000 0.500
0.500 0.500 0.500
0.000 0.000 0.000
```

Properties
Total moment in μB per formula unit: 4.66
Final energy in eV per atom: -4.88
ΔE_f in kJ/mol of atoms: 17

Record 3
## Eu2Ga3Ir (PBE-GGA)

Data for Eu2Ga3Ir after structural relaxation.

POSCAR file:
```
Eu2Ga3Ir
1.0
5.666 0.000 0.000
-2.833 4.907 0.000
0.000 0.000 8.749
Eu Ga Ir
4 6 2
Direct
0.333 0.667 0.053
0.333 0.667 0.447
0.667 0.333 0.553
0.667 0.333 0.947
0.160 0.321 0.750
0.160 0.840 0.750
0.321 0.160 0.250
0.679 0.840 0.750
0.840 0.160 0.250
0.840 0.679 0.250
0.000 0.000 0.000
0.000 0.000 0.500
```

Properties
Total moment in μB per formula unit: 13.82
Final energy in eV per atom: -7.03
ΔE_f in kJ/mol of atoms: -60

Record 4
## CrMoSe2 (PBE-GGA)

Data for CrMoSe2 after structural relaxation.

POSCAR file:
```
CrMoSe2
1.0
1.700 -2.891 0.000
1.700 2.891 0.000
0.000 0.000 7.517
Cr Mo Se
1 1 2
Direct
0.000 0.000 0.000
0.000 0.000 0.500
0.500 0.500 0.244
0.500 0.500 0.756
```

Properties
Total moment in μB per formula unit: 2.40
Energy above the most stable polymorph in this dataset in meV/atom: 688
Energy relative to the elements, uncorrected in eV/f.u.: 1.6
Final energy in eV per atom: -6.46

Record 5
## NaTc2NiAu (PBE-GGA)

Data for NaTc2NiAu after structural relaxation.

POSCAR file:
```
NaTc2NiAu
1.0
4.521 0.000 0.000
0.000 4.521 0.000
0.000 0.000 4.769
Na Tc Ni Au
1 2 1 1
Direct
0.000 0.000 0.000
0.000 0.500 0.500
0.500 0.000 0.500
0.000 0.000 0.500
0.500 0.500 0.000
```

Properties
Total moment in μB per formula unit: 4.60
Energy above the most stable polymorph in this dataset in meV/atom: 0
Final energy in eV per atom: -4.95
ΔE_f in kJ/mol of atoms: 123

Record 6
## Al4ReRh (PBE-GGA)

Data for Al4ReRh after structural relaxation.

POSCAR file:
```
Al4ReRh
1.0
0.000 3.512 3.512
3.512 0.000 3.512
3.512 3.512 0.000
Al Re Rh
4 1 1
Direct
0.125 0.125 0.125
0.125 0.125 0.625
0.125 0.625 0.125
0.625 0.125 0.125
0.500 0.500 0.500
0.750 0.750 0.750
```

Properties
Total moment in μB per formula unit: 0.00
Final energy in eV per atom: -5.76
ΔE_f in kJ/mol of atoms: 3

Record 7
## YGaIr3 (PBE-GGA)

Data for YGaIr3 after structural relaxation.

POSCAR file:
```
YGaIr3
1.0
4.590 0.000 0.000
0.000 4.590 0.000
0.000 0.000 4.590
Y Ga Ir
1 1 3
Direct
0.000 0.000 0.000
0.500 0.500 0.500
0.000 0.500 0.500
0.500 0.000 0.500
0.500 0.500 0.000
```

Properties
Total moment in μB per formula unit: 0.00
Energy above the most stable polymorph in this dataset in meV/atom: 0
Final energy in eV per atom: -7.02
ΔE_f in kJ/mol of atoms: 19

Record 8
## La8Tl3Ru2 (PBE-GGA)

Data for La8Tl3Ru2 after structural relaxation.

POSCAR file:
```
La8Tl3Ru2
1.0
7.973 -4.481 0.000
7.973 4.481 0.000
-0.957 0.000 5.772
La Tl Ru
8 3 2
Direct
0.118 0.118 0.062
0.144 0.578 0.446
0.309 0.309 0.938
0.422 0.856 0.554
0.578 0.144 0.446
0.691 0.691 0.062
0.856 0.422 0.554
0.882 0.882 0.938
0.000 0.000 0.500
0.321 0.679 0.000
0.679 0.321 0.000
0.223 0.223 0.515
0.777 0.777 0.485
```

Properties
Total moment in μB per formula unit: 0.00
Final energy in eV per atom: -5.28
ΔE_f in kJ/mol of atoms: -26

Record 9
## Dy5Ho6 (PBE-GGA)

Data for Dy5Ho6 after structural relaxation.

POSCAR file:
```
Dy5Ho6
1.0
4.514 -6.452 0.000
4.514 6.452 0.000
-1.881 0.000 5.975
Dy Ho
5 6
Direct
0.000 0.000 0.000
0.128 0.872 0.500
0.259 0.741 0.000
0.741 0.259 0.000
0.872 0.128 0.500
0.189 0.453 0.330
0.334 0.334 0.814
0.453 0.189 0.330
0.547 0.811 0.670
0.666 0.666 0.186
0.811 0.547 0.670
```

Properties
Total moment in μB per formula unit: 0.00
Final energy in eV per atom: -4.45
ΔE_f in kJ/mol of atoms: 14

Record 10
## Ac2ErNiS5 (PBE-GGA)

Data for Ac2ErNiS5 after structural relaxation.

POSCAR file:
```
Ac2ErNiS5
1.0
2.005 -8.448 0.000
2.005 8.448 0.000
0.000 0.000 12.290
Ac Er Ni S
4 2 2 10
Direct
0.119 0.881 0.500
0.121 0.879 0.854
0.879 0.121 0.354
0.881 0.119 0.000
0.179 0.821 0.180
0.821 0.179 0.680
0.445 0.555 0.584
0.555 0.445 0.084
0.022 0.978 0.164
0.305 0.695 0.834
0.311 0.689 0.527
0.340 0.660 0.176
0.499 0.501 0.915
0.501 0.499 0.415
0.660 0.340 0.676
0.689 0.311 0.027
0.695 0.305 0.334
0.978 0.022 0.664
```

Properties
Total moment in μB per formula unit: 0.93
Energy relative to the elements, uncorrected in eV/f.u.: -16.3
Final energy in eV per atom: -6.16

Record 11
## Y2ZnNi4P3 (PBE-GGA)

Data for Y2ZnNi4P3 after structural relaxation.

POSCAR file:
```
Y2ZnNi4P3
1.0
3.897 0.000 0.000
0.000 3.897 0.000
0.000 0.000 9.597
Y Zn Ni P
2 1 4 3
Direct
0.000 0.500 0.243
0.500 0.000 0.757
0.000 0.000 0.500
0.000 0.000 0.000
0.000 0.500 0.637
0.500 0.000 0.363
0.500 0.500 0.000
0.000 0.500 0.868
0.500 0.000 0.132
0.500 0.500 0.500
```

Properties
Total moment in μB per formula unit: 0.00
Final energy in eV per atom: -6.26
ΔE_f in kJ/mol of atoms: -87

Record 12
## GdHfAgOs (PBE-GGA)

Data for GdHfAgOs after structural relaxation.

POSCAR file:
```
GdHfAgOs
1.0
0.000 3.427 3.427
3.427 0.000 3.427
3.427 3.427 0.000
Gd Hf Ag Os
1 1 1 1
Direct
0.000 0.000 0.000
0.500 0.500 0.500
0.750 0.750 0.750
0.250 0.250 0.250
```

Properties
Total moment in μB per formula unit: 7.13
Final energy in eV per atom: -9.70
ΔE_f in kJ/mol of atoms: -17